# GGA-PBE NdSc2Cu6, optimized geometry
# * formation energy: -0.13 eV per atom
# * crystal system: orthorhombic
# * SG: No. 71
data_NdSc2Cu6
_chemical_formula_sum 'Nd1 Sc2 Cu6'
_space_group_name_H-M_alt 'P 1'
_space_group_IT_number 1
_space_group_name_Hall 'P 1'
_cell_length_a 7.6178
_cell_length_b 7.6178
_cell_length_c 7.6178
_cell_angle_alpha 154.68
_cell_angle_beta 123.51
_cell_angle_gamma 62.87
loop_
_atom_site_label
_atom_site_fract_x
_atom_site_fract_y
_atom_site_fract_z
Nd1 0.0000 0.0000 0.0000
Sc1 0.3601 0.8601 0.5000
Sc2 0.6399 0.1399 0.5000
Cu1 0.0116 0.3203 0.6913
Cu2 0.3291 0.5000 0.8291
Cu3 0.3710 0.6797 0.6913
Cu4 0.6290 0.3203 0.3087
Cu5 0.6709 0.5000 0.1709
Cu6 0.9884 0.6797 0.3087